[1]
Computed, not measured: a relaxed structure of La8CuSe3I4 at the PBE level of DFT.

Unit cell a=8.7266 b=8.7266 c=9.2280 alpha=118.22 beta=118.22 gamma=60.00
Last column: nearest neighbours and their distance in Å.
Atoms (fractional coordinates):
La1 0.2317 0.2317 0.7052  1 Cu 2.93, 2 Se 3.00
La2 0.2327 0.7403 0.7059  1 Cu 2.95, 2 Se 3.00
La3 0.2597 0.7673 0.2941  1 Cu 2.95, 2 Se 3.00
La4 0.2647 0.2647 0.2938  3 Se 2.98
La5 0.7353 0.7353 0.7062  3 Se 2.98
La6 0.7403 0.2327 0.7059  1 Cu 2.95, 2 Se 3.00
La7 0.7673 0.2597 0.2941  1 Cu 2.95, 2 Se 3.00
La8 0.7683 0.7683 0.2948  1 Cu 2.93, 2 Se 3.00
Cu1 0.0000 0.0000 0.5000  6 La 2.93-2.95
Se1 0.0000 0.5000 0.5000  6 La 2.98-3.00
Se2 0.5000 0.0000 0.5000  6 La 2.98-3.00
Se3 0.5000 0.5000 0.5000  6 La 2.98-3.00
I1 0.0000 0.0000 0.0000  6 La 3.38-3.39
I2 0.0000 0.5000 0.0000  6 La 3.38-3.39
I3 0.5000 0.0000 0.0000  6 La 3.38-3.39
I4 0.5000 0.5000 0.0000  6 La 3.42-3.43

Total magnetic moment: 0.00 Bohr magnetons per cell
Space-group type: C2/m, No. 12
Raw formation energy: -1.29 eV per atom
V: 31.9 Å³ per atom

=====

[2]
Computed, not measured: a relaxed structure of Ta2GeRu2 at the PBE level of DFT.

Unit cell a=7.4435 b=7.4435 c=3.0421 alpha=90.00 beta=90.00 gamma=90.00
Last column: nearest neighbours and their distance in Å.
Atoms (fractional coordinates):
Ta1 0.1598 0.3402 0.0000  6 Ru 2.64-2.68
Ta2 0.3402 0.8402 0.0000  6 Ru 2.64-2.68
Ta3 0.6598 0.1598 0.0000  6 Ru 2.64-2.68
Ta4 0.8402 0.6598 0.0000  6 Ru 2.64-2.68
Ge1 0.0000 0.0000 0.5000  4 Ru 2.90, 2 Ge 3.04, 8 Ta 3.18
Ge2 0.5000 0.5000 0.5000  4 Ru 2.90, 2 Ge 3.04, 8 Ta 3.18
Ru1 0.1351 0.6351 0.5000  6 Ta 2.64-2.68, 1 Ru 2.84, 2 Ge 2.90
Ru2 0.3649 0.1351 0.5000  6 Ta 2.64-2.68, 1 Ru 2.84, 2 Ge 2.90
Ru3 0.6351 0.8649 0.5000  6 Ta 2.64-2.68, 1 Ru 2.84, 2 Ge 2.90
Ru4 0.8649 0.3649 0.5000  6 Ta 2.64-2.68, 1 Ru 2.84, 2 Ge 2.90

Total magnetic moment: 0.00 Bohr magnetons per cell
Space-group type: P4/mbm, No. 127
E_form: -0.11 eV per atom
V: 16.9 Å³ per atom